First-principles (PBE-GGA) data for a geometry-optimized YCdCo structure, as listed in Alexandria via LeMat-Bulk.

Computed properties:
**Energy of formation**: -0.272 eV/atom
**DFT total energy**: -5.100 eV per atom
**Magnetic moment**: 0.42 μB per formula unit

Cell: 3.905 16.742 3.817 Å, 90.00 90.00 90.00°
Space group Cmcm (No. 63)
Asymmetric unit:
Y1 0.000 0.093 0.250
Cd1 0.000 0.297 0.250
Co1 0.000 0.464 0.250

=====

First-principles (PBE-GGA) data for a geometry-optimized YSi4W structure, as listed in Alexandria via LeMat-Bulk.

Computed properties:
**ΔE_f (raw)**: 24.1 kJ/mol of atoms
**DFT total energy**: -6.602 eV per atom
**Magnetic moment**: 0.00 μB per formula unit

Cell: 7.187 7.187 7.187 Å, 90.00 90.00 90.00°
Space group F-43m (No. 216)
Asymmetric unit:
Y1 0.000 0.000 0.000
Si1 0.123 0.123 0.377
W1 0.250 0.250 0.750

=====

First-principles (PBE-GGA) data for a geometry-optimized B2OsC structure, as listed in Alexandria via LeMat-Bulk.

Computed properties:
**Energy of formation**: 0.791 eV/atom
**DFT total energy**: -7.661 eV per atom
**Magnetic moment**: 0.00 μB per formula unit

Cell: 4.701 4.701 6.744 Å, 90.00 90.00 90.00°
Space group I-42d (No. 122)
Asymmetric unit:
B1 0.154 0.250 0.125
Os1 0.000 0.000 0.500
C1 0.000 0.000 0.000

=====

First-principles (PBE-GGA) data for a geometry-optimized BeP2Rh structure, as listed in Alexandria via LeMat-Bulk.

Computed properties:
**Energy of formation**: 0.129 eV/atom
**DFT total energy**: -5.345 eV per atom
**Magnetic moment**: 0.00 μB per formula unit

Cell: 3.721 3.721 7.268 Å, 90.00 90.00 90.00°
Space group I-4m2 (No. 119)
Asymmetric unit:
Be1 0.000 0.000 0.000
P1 0.000 0.000 0.500
P2 0.000 0.500 0.750
Rh1 0.000 0.500 0.250

=====

First-principles (PBE-GGA) data for a geometry-optimized LaScMnAl2 structure, as listed in Alexandria via LeMat-Bulk.

Computed properties:
**Energy of formation**: -0.222 eV/atom
**DFT total energy**: -5.805 eV per atom
**Magnetic moment**: 0.24 μB per formula unit

Cell: 4.778 4.778 4.638 Å, 90.00 90.00 90.00°
Space group P4/mmm (No. 123)
Asymmetric unit:
La1 0.000 0.000 0.000
Sc1 0.500 0.500 0.000
Mn1 0.500 0.500 0.500
Al1 0.000 0.500 0.500

=====

First-principles (PBE-GGA) data for a geometry-optimized RbTlSb2Au2 structure, as listed in Alexandria via LeMat-Bulk.

Computed properties:
**ΔE_f (raw)**: -18.8 kJ/mol of atoms
**DFT total energy**: -3.217 eV per atom
**Magnetic moment**: 0.00 μB per formula unit

Cell: 4.6425 4.6425 10.5234 Å, 90.00 90.00 120.00°
Space group P-3m1 (No. 164)
Asymmetric unit:
Rb1 0.0000 0.0000 0.0000
Tl1 0.0000 0.0000 0.5000
Sb1 0.3333 0.6667 0.2803
Au1 0.3333 0.6667 0.7455

=====

First-principles (PBE-GGA) data for a geometry-optimized K2MnCl6 structure, as listed in Alexandria via LeMat-Bulk.

Computed properties:
**ΔE_f (raw)**: -128.6 kJ/mol of atoms
**DFT total energy**: -3.827 eV per atom
**Magnetic moment**: 3.09 μB per formula unit

Cell: 6.666 6.666 12.950 Å, 90.00 90.00 90.00°
Space group P4_2/mnm (No. 136)
Asymmetric unit:
K1 0.000 0.000 0.165
Mn1 0.000 0.000 0.500
Cl1 0.171 0.171 0.374
Cl2 0.243 0.757 0.500

=====

First-principles (PBE-GGA) data for a geometry-optimized VHgTe2 structure, as listed in Alexandria via LeMat-Bulk.

Computed properties:
**ΔE_f (raw)**: -1.0 kJ/mol of atoms
**DFT total energy**: -3.936 eV per atom
**Magnetic moment**: 2.97 μB per formula unit

Cell: 6.461 6.461 12.885 Å, 90.00 90.00 90.00°
Space group I-42d (No. 122)
Asymmetric unit:
V1 0.000 0.000 0.000
Hg1 0.000 0.000 0.500
Te1 0.219 0.250 0.125